Material: Sr2CuH6Pd
Method: DFT, PBE
State: relaxed

Cell lengths 5.2966, 5.2965, 5.4628 Å; angles 119.03, 119.03, 89.92 degrees
Closest atoms and distances in Å follow each position.
Sites, in units of the cell vectors:
1 Sr 0.7498 0.2505 0.4998  12 H 2.65-2.73
2 Sr 0.2500 0.7503 0.4998  12 H 2.65-2.73
3 Cu 0.4999 0.5004 0.9999  6 H 1.77-1.91
4 H 0.7548 0.7552 0.0011  1 Pd 1.84, 1 Cu 1.91
5 H 0.7216 0.7221 0.4454  1 Cu 1.77
6 H 0.2450 0.2455 0.9984  1 Pd 1.84, 1 Cu 1.91
7 H 0.7541 0.2462 0.9998  1 Pd 1.84, 1 Cu 1.90
8 H 0.2782 0.2787 0.5542  1 Cu 1.77
9 H 0.2457 0.7546 0.9998  1 Pd 1.84, 1 Cu 1.90
10 Pd 0.9999 0.0003 0.9997  4 H 1.84

SG	C2/m
total DFT energy (no corrections)	-3.693	eV/atom
calculated volume	11.15	Å³ per atom
total magnetic moment	0.000	μB/cell

Material: TaCu2HPd
Method: DFT, PBE
State: relaxed

Cell lengths 3.9914, 3.9914, 3.8079 Å; angles 90.00, 90.00, 90.00 degrees
Closest atoms and distances in Å follow each position.
Sites, in units of the cell vectors:
1 H 0.0000 0.0000 0.0000  2 Ta 1.90, 4 Cu 2.00
2 Cu 0.0000 0.5000 0.0000  2 H 2.00
3 Cu 0.5000 0.0000 0.0000  2 H 2.00
4 Pd 0.5000 0.5000 0.5000  8 Cu 2.76, 4 Ta 2.82
5 Ta 0.0000 0.0000 0.5000  2 H 1.90

SG	P4/mmm
total DFT energy (no corrections)	-5.618	eV/atom
calculated volume	12.13	Å³ per atom
total magnetic moment	0.000	μB/cell

Material: Tb2CuHPd6
Method: DFT, PBE
State: relaxed

Cell lengths 5.6923, 6.8017, 5.7135 Å; angles 64.69, 60.21, 90.02 degrees
Closest atoms and distances in Å follow each position.
Sites, in units of the cell vectors:
1 Tb 0.7224 0.1711 0.5573  8 Pd 2.96-3.27
2 Tb 0.2776 0.8289 0.4427  8 Pd 2.96-3.27
3 Cu 0.0000 0.0000 0.0000  6 Pd 2.47
4 H 0.5000 0.5000 0.0000  6 Pd 1.99-2.00
5 Pd 0.2707 0.3153 0.4616  1 H 2.00
6 Pd 0.7324 0.6947 0.0300  1 H 1.99
7 Pd 0.2330 0.6918 0.0322  1 H 1.99
8 Pd 0.7670 0.3082 0.9678  1 H 1.99
9 Pd 0.2676 0.3053 0.9700  1 H 1.99
10 Pd 0.7293 0.6847 0.5384  1 H 2.00

SG	P-1
total DFT energy (no corrections)	-5.386	eV/atom
calculated volume	16.70	Å³ per atom
total magnetic moment	0.000	μB/cell

Material: CuTcHPd2
Method: DFT, PBE
State: relaxed

Cell lengths 3.9657, 3.9657, 3.9153 Å; angles 90.00, 90.00, 90.00 degrees
Closest atoms and distances in Å follow each position.
Sites, in units of the cell vectors:
1 H 0.0000 0.0000 0.0000  2 Tc 1.96, 4 Pd 1.98
2 Cu 0.5000 0.5000 0.5000  8 Pd 2.79, 4 Tc 2.80
3 Tc 0.0000 0.0000 0.5000  2 H 1.96
4 Pd 0.0000 0.5000 0.0000  2 H 1.98
5 Pd 0.5000 0.0000 0.0000  2 H 1.98

SG	P4/mmm
total DFT energy (no corrections)	-5.409	eV/atom
calculated volume	12.31	Å³ per atom
total magnetic moment	2.012	μB/cell

Material: Cu2TeHPd
Method: DFT, PBE
State: relaxed

Cell lengths 4.1674, 4.1674, 3.8959 Å; angles 90.00, 90.00, 90.00 degrees
Closest atoms and distances in Å follow each position.
Sites, in units of the cell vectors:
1 H 0.0000 0.0000 0.0000  2 Pd 1.95, 4 Cu 2.08
2 Te 0.5000 0.5000 0.5000  8 Cu 2.85, 4 Pd 2.95
3 Cu 0.0000 0.5000 0.0000  2 H 2.08
4 Cu 0.5000 0.0000 0.0000  2 H 2.08
5 Pd 0.0000 0.0000 0.5000  2 H 1.95

SG	P4/mmm
total DFT energy (no corrections)	-3.932	eV/atom
calculated volume	13.53	Å³ per atom
total magnetic moment	0.000	μB/cell

Material: ThCuH6Pd
Method: DFT, PBE
State: relaxed

Cell lengths 4.5542, 4.5542, 4.4105 Å; angles 90.00, 90.00, 60.00 degrees
Closest atoms and distances in Å follow each position.
Sites, in units of the cell vectors:
1 Th 0.0000 0.0000 0.0000  12 H 2.47
2 Cu 0.6667 0.6667 0.5000  6 H 1.79
3 H 0.9897 0.5051 0.2158  1 Cu 1.79, 1 Pd 1.85, 1 H 1.90
4 H 0.5051 0.9897 0.7842  1 Cu 1.79, 1 Pd 1.85, 1 H 1.90
5 H 0.5051 0.5051 0.7842  1 Cu 1.79, 1 Pd 1.85, 1 H 1.90
6 H 0.9897 0.5051 0.7842  1 Cu 1.79, 1 Pd 1.85, 1 H 1.90
7 H 0.5051 0.5051 0.2158  1 Cu 1.79, 1 Pd 1.85, 1 H 1.90
8 H 0.5051 0.9897 0.2158  1 Cu 1.79, 1 Pd 1.85, 1 H 1.90
9 Pd 0.3333 0.3333 0.5000  6 H 1.85

SG	P-6m2
total DFT energy (no corrections)	-4.311	eV/atom
calculated volume	8.80	Å³ per atom
total magnetic moment	0.000	μB/cell

Material: ThCu2H8Pd
Method: DFT, PBE
State: relaxed

Cell lengths 4.7465, 4.7465, 6.5906 Å; angles 90.00, 90.00, 120.00 degrees
Closest atoms and distances in Å follow each position.
Sites, in units of the cell vectors:
1 Th 0.0000 0.0000 0.5000  6 H 2.41
2 Cu 0.3333 0.6667 0.7149  4 H 1.62-1.64
3 Cu 0.6667 0.3333 0.2851  4 H 1.62-1.64
4 H 0.1508 0.3016 0.8138  1 Cu 1.64, 1 Pd 1.74
5 H 0.1508 0.8492 0.8138  1 Cu 1.64, 1 Pd 1.74
6 H 0.6984 0.8492 0.8138  1 Cu 1.64, 1 Pd 1.74
7 H 0.3016 0.1508 0.1862  1 Cu 1.64, 1 Pd 1.74
8 H 0.6667 0.3333 0.5314  1 Cu 1.62
9 H 0.3333 0.6667 0.4686  1 Cu 1.62
10 H 0.8492 0.6984 0.1862  1 Cu 1.64, 1 Pd 1.74
11 H 0.8492 0.1508 0.1862  1 Cu 1.64, 1 Pd 1.74
12 Pd 0.0000 0.0000 0.0000  6 H 1.74

SG	P-3m1
total DFT energy (no corrections)	-4.005	eV/atom
calculated volume	10.72	Å³ per atom
total magnetic moment	0.000	μB/cell

Material: TiCuHPd2
Method: DFT, PBE
State: relaxed

Cell lengths 3.9647, 3.9647, 3.9410 Å; angles 90.00, 90.00, 90.00 degrees
Closest atoms and distances in Å follow each position.
Sites, in units of the cell vectors:
1 H 0.0000 0.0000 0.0000  2 Ti 1.97, 4 Pd 1.98
2 Cu 0.5000 0.5000 0.5000  8 Pd 2.80, 4 Ti 2.80
3 Pd 0.0000 0.5000 0.0000  2 H 1.98
4 Pd 0.5000 0.0000 0.0000  2 H 1.98
5 Ti 0.0000 0.0000 0.5000  2 H 1.97

SG	P4/mmm
total DFT energy (no corrections)	-5.373	eV/atom
calculated volume	12.39	Å³ per atom
total magnetic moment	0.997	μB/cell